Entry 1:
VASP calculation (PBE) on an optimized crystal structure of Ti2BiSb.

Cell: 7.0067 7.0067 7.0067 Å, 33.20 33.20 33.20°
With the nearest neighbours (Å) after each atom.
Fractional coordinates of all 4 atoms:
Ti 0.2415 0.2415 0.2415  3 Sb 2.75, 3 Bi 2.94
Ti 0.7585 0.7585 0.7585  3 Sb 2.75, 3 Bi 2.94
Bi 0.0000 0.0000 0.0000  6 Ti 2.94
Sb 0.5000 0.5000 0.5000  6 Ti 2.75

Computed properties:
- ΔE_f (raw) (meV per atom) = -144
- energy above the most stable polymorph in this dataset (meV/atom) = 152



Entry 2:
VASP calculation (PBE) on an optimized crystal structure of TbTc2C.

Cell: 7.4462 7.4462 7.4462 Å, 24.80 24.80 24.80°
With the nearest neighbours (Å) after each atom.
Fractional coordinates of all 4 atoms:
Tb 0.0000 0.0000 0.0000  6 Tc 3.17, 6 Tb 3.20
Tc 0.2143 0.2143 0.2143  3 C 2.11
Tc 0.7857 0.7857 0.7857  3 C 2.11
C 0.5000 0.5000 0.5000  6 Tc 2.11

Computed properties:
- formation enthalpy at 0 K (eV per atom) = 0.218
- energy above the most stable polymorph in this dataset (meV/atom) = 138



Entry 3:
VASP calculation (PBE) on an optimized crystal structure of CdAgOs2.

Cell: 2.7426 2.7426 9.9291 Å, 90.00 90.00 118.18°
With the nearest neighbours (Å) after each atom.
Fractional coordinates of all 4 atoms:
Cd 0.0000 0.0000 0.0000  6 Cd 2.74-2.82, 4 Os 2.86
Ag 0.0000 0.0000 0.5000  6 Ag 2.74-2.82, 4 Os 2.85
Os 0.5000 0.5000 0.2507  6 Os 2.74-2.82, 2 Ag 2.85, 2 Cd 2.86
Os 0.5000 0.5000 0.7493  6 Os 2.74-2.82, 2 Ag 2.85, 2 Cd 2.86

Computed properties:
- formation enthalpy at 0 K (eV per atom) = 0.770